First-principles (GGA-PBE) data for Hf2BH2 after structural relaxation, as listed in Alexandria via LeMat-Bulk.

N(E_F) ... 4.55 states/eV/cell
Electronic total energy ... -7.0147 eV per atom

Geometry as extended XYZ:
```
10
Lattice="0.000 3.832 4.398 3.305 0.000 4.398 3.305 3.832 0.000" Properties=species:S:1:pos:R:3 pbc="T T T"
Hf 2.479 2.874 1.005
Hf 4.131 4.790 3.204
Hf 2.479 2.874 5.593
Hf 4.131 4.790 7.792
B 2.479 2.874 3.299
B 4.131 4.790 5.498
H 0.826 0.086 1.100
H 0.826 1.831 1.100
H 5.784 5.834 7.697
H 5.784 7.579 7.697
```

First-principles (GGA-PBE) data for Na3Pr2ThSe6 after structural relaxation, as listed in Alexandria via LeMat-Bulk.

N(E_F) ... 4.47 states/eV/cell
Raw formation energy ... -1.61 eV/atom
Electronic total energy ... -5.0998 eV per atom

Geometry as extended XYZ:
```
12
Lattice="9.362 -2.132 0.000 9.362 2.132 0.000 -2.102 0.000 8.364" Properties=species:S:1:pos:R:3 pbc="T T T"
Na 0.000 0.000 0.000
Na 4.794 0.000 5.581
Na 11.829 0.000 2.783
Pr 5.864 0.000 1.356
Pr 10.758 0.000 7.008
Th -1.051 0.000 4.182
Se 1.794 0.000 4.890
Se 2.961 0.000 0.673
Se 8.799 0.000 2.184
Se 7.824 0.000 6.181
Se 13.662 0.000 7.691
Se 14.829 0.000 3.475
```

First-principles (GGA-PBE) data for SbSeO3 after structural relaxation, as listed in Alexandria via LeMat-Bulk.

N(E_F) ... 3.89 states/eV/cell
Raw formation energy ... -0.29 eV/atom
Electronic total energy ... -4.7838 eV per atom

Geometry as extended XYZ:
```
5
Lattice="4.013 0.000 0.000 0.000 4.013 0.000 0.000 0.000 4.013" Properties=species:S:1:pos:R:3 pbc="T T T"
Sb 0.000 0.000 0.000
Se 2.007 2.007 2.007
O 0.000 0.000 2.007
O 0.000 2.007 0.000
O 2.007 0.000 0.000
```

First-principles (GGA-PBE) data for Sr2HgOs after structural relaxation, as listed in Alexandria via LeMat-Bulk.

DFT formation energy ... 0.96 eV/atom
N(E_F) ... 15.27 states/eV/cell
Electronic total energy ... -2.7622 eV per atom

Geometry as extended XYZ:
```
16
Lattice="5.003 0.000 0.000 0.000 5.003 0.000 0.000 0.000 20.061" Properties=species:S:1:pos:R:3 pbc="T T T"
Sr 1.142 1.251 2.508
Sr 1.251 3.644 7.523
Sr 1.251 3.861 17.554
Sr 1.359 1.251 12.538
Sr 3.644 3.752 12.538
Sr 3.752 1.142 17.554
Sr 3.752 1.359 7.523
Sr 3.861 3.752 2.508
Hg 0.000 0.000 10.031
Hg 0.000 2.502 15.046
Hg 2.502 0.000 5.015
Hg 2.502 2.502 0.000
Os 0.000 0.000 0.000
Os 0.000 2.502 5.015
Os 2.502 0.000 15.046
Os 2.502 2.502 10.031
```

First-principles (GGA-PBE) data for Nb3SbS after structural relaxation, as listed in Alexandria via LeMat-Bulk.

N(E_F) ... 10.04 states/eV/cell
Raw formation energy ... 1.71 eV/atom
Electronic total energy ... -5.9827 eV per atom

Geometry as extended XYZ:
```
5
Lattice="5.081 0.000 0.000 0.000 5.081 0.000 0.000 0.000 5.081" Properties=species:S:1:pos:R:3 pbc="T T T"
Nb 0.000 0.000 2.541
Nb 0.000 2.541 0.000
Nb 2.541 0.000 0.000
Sb 0.000 0.000 0.000
S 2.541 2.541 2.541
```

First-principles (GGA-PBE) data for AlRe2Te after structural relaxation, as listed in Alexandria via LeMat-Bulk.

N(E_F) ... 7.16 states/eV/cell
Raw formation energy ... 0.74 eV/atom
Electronic total energy ... -7.2006 eV per atom

Geometry as extended XYZ:
```
8
Lattice="3.023 0.000 0.000 0.000 4.856 0.000 0.000 0.000 9.370" Properties=species:S:1:pos:R:3 pbc="T T T"
Al 0.000 0.000 0.000
Al 1.512 2.428 0.000
Re 0.000 2.428 2.103
Re 0.000 2.428 7.267
Re 1.512 0.000 2.103
Re 1.512 0.000 7.267
Te 0.000 0.000 4.685
Te 1.512 2.428 4.685
```